A plane-wave DFT calculation with GGA-PBE was carried out for a geometry-optimized YAgCl6 structure.

abc: 7.4680 7.9924 6.9682
angles: 59.99 58.27 44.03
Last column: nearest neighbours and their distance in Å.
Positions (direct):
Cl (0.1116, 0.4827, 0.6985)  1 Y 2.55
Cl (0.7249, 0.0924, 0.8299)  1 Ag 2.38
Cl (0.3950, 0.7866, 0.7045)  1 Ag 2.40
Cl (0.6050, 0.2134, 0.2955)  1 Ag 2.40
Cl (0.8884, 0.5173, 0.3015)  1 Y 2.55
Cl (0.2751, 0.9076, 0.1701)  1 Ag 2.38
Y (0.5000, 0.5000, 0.5000)  6 Cl 2.55-2.72
Ag (0.0000, 0.0000, 0.0000)  4 Cl 2.38-2.40

Properties
Calculated total energy, eV per atom: -3.6944
Size of the total moment, μB per formula unit: 0.00
Formation energy (no corrections), eV/f.u.: -9.16
Space group: P-1 (2)